The following is a GGA-PBEsol calculation of a relaxed LaAlCl crystal, from Alexandria.

Lattice parameters (Å, degrees): 4.9699 4.9699 4.9699 60.00 60.00 60.00
Fractional coordinates of all 3 atoms:
Cl 0.5000 0.5000 0.5000
Al 0.0000 0.0000 0.0000
La 0.2500 0.2500 0.2500

calculated density = 3.9 g/cm³

=====

The following is a GGA-PBEsol calculation of a relaxed LaAlCl crystal, from Alexandria.

Lattice parameters (Å, degrees): 3.5725 3.5725 7.0134 90.00 90.00 120.00
Fractional coordinates of all 3 atoms:
Cl 0.6667 0.3333 0.6441
Al 0.0000 0.0000 0.0082
La 0.3333 0.6667 0.3477

calculated density = 4.3 g/cm³

=====

no.,M_tot (μB per cell),DFT total energy (eV/cell),N(E_F) (states/eV per atom)
1,0.000,-12.247,1.280
2,0.000,-13.476,0.584